[1]
Below is Sm3MgSc3Te8 after structural relaxation, with properties calculated at the PBE-GGA level.

a = 8.5508 Å, b = 8.5514 Å, c = 8.6194 Å
α = 119.74°, β = 90.00°, γ = 120.00°
Last column: nearest neighbours and their distance in Å.
Element x y z (fractional)
Sm1 0.0000 0.5000 0.0000  6 Te 3.12
Sc1 0.5000 0.5000 0.5000  6 Te 2.95
Sc2 0.0000 0.5000 0.5000  6 Te 2.95
Sm2 0.5000 0.5000 0.0000  6 Te 3.12
Te1 0.2481 0.9861 0.7342  2 Sc 2.95, 1 Mg 3.01, 2 Sm 3.12
Te2 0.2620 0.0138 0.2658  2 Sc 2.95, 1 Mg 3.01, 2 Sm 3.12
Te3 0.7518 0.5038 0.2657  2 Sc 2.95, 1 Mg 3.01, 2 Sm 3.12
Mg1 0.0000 0.0000 0.5000  6 Te 3.01
Te4 0.7380 0.9862 0.7342  2 Sc 2.95, 1 Mg 3.01, 2 Sm 3.12
Te5 0.7519 0.0139 0.2658  2 Sc 2.95, 1 Mg 3.01, 2 Sm 3.12
Sm3 0.0000 0.0000 0.0000  6 Te 3.12
Te6 0.2482 0.4962 0.7343  2 Sc 2.95, 1 Mg 3.01, 2 Sm 3.12
Te7 0.2570 0.5141 0.2712  3 Sc 2.95, 3 Sm 3.12
Te8 0.7430 0.4859 0.7288  3 Sc 2.95, 3 Sm 3.12
Sc3 0.5000 0.0000 0.5000  6 Te 2.95

Properties
uncorrected energy: -5.2165 eV/atom
size of the total moment: 0.00 μB/cell
D(E_F): 5.627 states/eV/f.u.
ΔE_f (raw): -1224 meV per atom
space group: R-3m (166)

***

[2]
Below is Li2TiAl9 after structural relaxation, with properties calculated at the PBE-GGA level.

a = 3.9811 Å, b = 3.9811 Å, c = 12.1501 Å
α = 90.00°, β = 90.00°, γ = 90.00°
Last column: nearest neighbours and their distance in Å.
Element x y z (fractional)
Li1 0.0000 0.0000 0.6667  12 Al 2.82-2.84
Al1 0.0000 0.5000 0.8328  8 Al 2.82-2.84, 2 Li 2.83, 2 Ti 2.84
Ti1 0.0000 0.0000 0.0000  12 Al 2.82-2.84
Al2 0.5000 0.0000 0.1672  8 Al 2.82-2.84, 2 Li 2.83, 2 Ti 2.84
Al3 0.5000 0.5000 0.6679  4 Li 2.82, 8 Al 2.82-2.85
Al4 0.5000 0.5000 0.0000  4 Ti 2.82, 8 Al 2.84
Al5 0.0000 0.5000 0.1672  8 Al 2.82-2.84, 2 Li 2.83, 2 Ti 2.84
Al6 0.5000 0.0000 0.5000  8 Al 2.82-2.85, 4 Li 2.84
Al7 0.0000 0.5000 0.5000  8 Al 2.82-2.85, 4 Li 2.84
Al8 0.5000 0.0000 0.8328  8 Al 2.82-2.84, 2 Li 2.83, 2 Ti 2.84
Li2 0.0000 0.0000 0.3333  12 Al 2.82-2.84
Al9 0.5000 0.5000 0.3321  4 Li 2.82, 8 Al 2.82-2.85

Properties
uncorrected energy: -3.9769 eV/atom
size of the total moment: 0.00 μB/cell
DFT formation energy: -193 meV/atom
D(E_F): 4.567 states/eV/f.u.
space group: P4/mmm (123)

***

[3]
Below is IrOsCl2 after structural relaxation, with properties calculated at the PBE-GGA level.

a = 4.2443 Å, b = 2.9494 Å, c = 4.9976 Å
α = 93.85°, β = 90.00°, γ = 90.00°
Last column: nearest neighbours and their distance in Å.
Element x y z (fractional)
Cl1 0.0000 0.9825 0.9970  2 Os 2.53, 2 Ir 2.57, 1 Cl 2.74
Ir1 0.5000 0.2500 0.2500  4 Cl 2.57, 2 Os 2.81
Os1 0.5000 0.7500 0.7500  4 Cl 2.53, 2 Ir 2.81
Cl2 0.0000 0.5175 0.5030  2 Os 2.53, 2 Ir 2.57, 1 Cl 2.74

Properties
uncorrected energy: -4.9187 eV/atom
size of the total moment: 0.00 μB/cell
D(E_F): 4.419 states/eV/f.u.
ΔE_f (raw): 1027 meV per atom
space group: P2/m (10)

***

[4]
Below is ScBO3 after structural relaxation, with properties calculated at the PBE-GGA level.

a = 4.0534 Å, b = 4.0534 Å, c = 4.0534 Å
α = 90.00°, β = 90.00°, γ = 90.00°
Last column: nearest neighbours and their distance in Å.
Element x y z (fractional)
Sc1 0.0000 0.0000 0.0000  6 O 2.03
O1 0.5000 0.0000 0.0000  2 Sc 2.03
B1 0.5000 0.5000 0.5000  12 O 2.87
O2 0.0000 0.0000 0.5000  2 Sc 2.03
O3 0.0000 0.5000 0.0000  2 Sc 2.03

Properties
uncorrected energy: -5.9510 eV/atom
size of the total moment: 2.00 μB/cell
D(E_F): 7.089 states/eV/f.u.
ΔE_f (raw): -374 meV per atom
space group: Pm-3m (221)

***

[5]
Below is Cu3Cl4 after structural relaxation, with properties calculated at the PBE-GGA level.

a = 5.6792 Å, b = 5.6792 Å, c = 4.5265 Å
α = 90.00°, β = 90.00°, γ = 120.00°
Last column: nearest neighbours and their distance in Å.
Element x y z (fractional)
Cu1 0.5000 0.0000 0.0000  8 Cl 2.79-3.06, 4 Cu 2.84
Cu2 0.5000 0.5000 0.0000  8 Cl 2.79-3.06, 4 Cu 2.84
Cl1 0.0000 0.0000 0.7474  2 Cl 2.24-2.29
Cu3 0.0000 0.5000 0.0000  8 Cl 2.79-3.06, 4 Cu 2.84
Cl2 0.6667 0.3333 0.5000  6 Cu 2.79
Cl3 0.0000 0.0000 0.2526  2 Cl 2.24-2.29
Cl4 0.3333 0.6667 0.5000  6 Cu 2.79

Properties
uncorrected energy: -2.5690 eV/atom
size of the total moment: 0.32 μB/cell
D(E_F): 2.308 states/eV/f.u.
ΔE_f (raw): 242 meV per atom
space group: P6/mmm (191)

***

[6]
Below is Mg2BiBr after structural relaxation, with properties calculated at the PBE-GGA level.

a = 7.1456 Å, b = 4.3886 Å, c = 8.0730 Å
α = 90.00°, β = 94.26°, γ = 90.00°
Last column: nearest neighbours and their distance in Å.
Element x y z (fractional)
Br1 0.0437 0.5000 0.9179  1 Mg 2.60
Bi1 0.5857 0.5000 0.6242  6 Mg 2.89-3.00
Mg1 0.7872 0.0000 0.8170  2 Br 2.94, 3 Bi 2.96-3.00
Mg2 0.7872 0.5000 0.3170  2 Br 2.94, 3 Bi 2.96-3.00
Mg3 0.4088 0.5000 0.9387  1 Br 2.60, 2 Bi 2.89
Br2 0.0437 0.0000 0.4179  1 Mg 2.60
Bi2 0.5857 0.0000 0.1242  6 Mg 2.89-3.00
Mg4 0.4088 0.0000 0.4387  1 Br 2.60, 2 Bi 2.89

Properties
uncorrected energy: -2.7569 eV/atom
size of the total moment: 0.00 μB/cell
D(E_F): 0.214 states/eV/f.u.
ΔE_f (raw): -571 meV per atom
space group: Cm (8)